Record 1
SrPtSe2 | PBE | optimized geometry

The structure in POSCAR format:
```
SrPtSe2
1.0
4.3286 0.0000 0.0000
0.0000 3.7661 0.0000
-1.3035 0.0000 6.3865
Sr Pt Se
1 1 2
Cartesian
0.0000 0.0000 0.0000 Sr
1.5125 0.0000 3.1933 Pt
0.9595 1.8831 4.7229 Se
2.0655 1.8831 1.6636 Se
```

The value obtained for the formation energy from raw total energies is -3.99 eV/f.u. As for the density of states at the Fermi level: 0.29 states/eV/f.u. The calculation puts the spin magnetization at 0.0 μB per formula unit.

---

Record 2
FeCo3 | PBE | optimized geometry

The structure in POSCAR format:
```
FeCo3
1.0
4.3486 0.0000 0.0000
0.0000 4.3486 0.0000
0.0000 0.0000 4.3486
Fe Co
1 3
Cartesian
0.0000 0.0000 0.0000 Fe
0.0000 0.0000 2.1743 Co
0.0000 2.1743 0.0000 Co
2.1743 0.0000 0.0000 Co
```

As for the density of states at the Fermi level: 5.85 states/eV/f.u. The formation enthalpy at 0 K comes out at 7.05 eV per formula unit. The calculation puts the spin magnetization at 8.3 μB per formula unit.

---

Record 3
Sc2Ga2Ag | PBE | optimized geometry

The structure in POSCAR format:
```
Sc2Ga2Ag
1.0
-2.1208 2.1208 6.0112
2.1208 -2.1208 6.0112
2.1208 2.1208 -6.0112
Sc Ga Ag
2 2 1
Cartesian
2.1208 0.0000 3.0056 Sc
0.0000 2.1208 3.0056 Sc
0.0000 0.0000 1.1637 Ga
0.0000 0.0000 10.8587 Ga
0.0000 0.0000 6.0112 Ag
```

As for the density of states at the Fermi level: 3.30 states/eV/f.u. The formation enthalpy at 0 K comes out at 0.17 eV per formula unit. The calculation puts the spin magnetization at 1.0 μB per formula unit.

---

Record 4
Rb3PRh | PBE | optimized geometry

The structure in POSCAR format:
```
Rb3PRh
1.0
5.8082 0.0000 0.0000
0.0000 5.8082 0.0000
0.0000 0.0000 5.8082
Rb P Rh
3 1 1
Cartesian
0.0000 0.0000 2.9041 Rb
0.0000 2.9041 0.0000 Rb
2.9041 0.0000 0.0000 Rb
2.9041 2.9041 2.9041 P
0.0000 0.0000 0.0000 Rh
```

As for the density of states at the Fermi level: 5.21 states/eV/f.u. The formation enthalpy at 0 K comes out at 3.74 eV per formula unit. The calculation puts the spin magnetization at 1.4 μB per formula unit.

---

Record 5
LiBeAl4 | PBE | optimized geometry

The structure in POSCAR format:
```
LiBeAl4
1.0
0.0000 3.7237 3.7237
3.7237 0.0000 3.7237
3.7237 3.7237 0.0000
Li Be Al
1 1 4
Cartesian
0.0000 0.0000 0.0000 Li
1.8618 1.8618 1.8618 Be
4.6564 2.7910 2.7910 Al
2.7910 4.6564 2.7910 Al
2.7910 2.7910 4.6564 Al
4.6564 4.6564 4.6564 Al
```

As for the density of states at the Fermi level: 3.32 states/eV/f.u. The formation enthalpy at 0 K comes out at 1.87 eV per formula unit. The calculation puts the spin magnetization at 0.0 μB per formula unit.

---

Record 6
NbCdRh3 | PBE | optimized geometry

The structure in POSCAR format:
```
NbCdRh3
1.0
4.7384 0.0000 0.0000
0.0000 4.7384 0.0000
0.0000 0.0000 4.7384
Nb Cd Rh
1 1 3
Cartesian
0.0000 0.0000 0.0000 Nb
2.3692 2.3692 2.3692 Cd
0.0000 0.0000 2.3692 Rh
0.0000 2.3692 0.0000 Rh
2.3692 0.0000 0.0000 Rh
```

As for the density of states at the Fermi level: 1.36 states/eV/f.u. The formation enthalpy at 0 K comes out at 3.64 eV per formula unit. The calculation puts the spin magnetization at 0.0 μB per formula unit.

---

Record 7
Tl2CdRe | PBE | optimized geometry

The structure in POSCAR format:
```
Tl2CdRe
1.0
1.5329 0.8850 11.0464
-1.5329 0.8850 11.0464
0.0000 -1.7701 11.0464
Tl Cd Re
2 1 1
Cartesian
0.0000 0.0000 0.0000 Tl
0.0000 0.0000 7.8384 Tl
0.0000 0.0000 25.1081 Cd
0.0000 0.0000 16.3853 Re
```

As for the density of states at the Fermi level: 3.72 states/eV/f.u. The formation enthalpy at 0 K comes out at 2.79 eV per formula unit. The calculation puts the spin magnetization at 0.0 μB per formula unit.

---

Record 8
Li5PaO5 | PBE | optimized geometry

The structure in POSCAR format:
```
Li5PaO5
1.0
5.1289 -2.1958 0.0000
5.1289 2.1958 0.0000
-2.1558 0.0000 5.7615
Li Pa O
5 1 5
Cartesian
0.0000 0.0000 0.0000 Li
2.5552 0.0000 0.8814 Li
1.7900 0.0000 3.6920 Li
6.3119 0.0000 2.0695 Li
5.5468 0.0000 4.8801 Li
-1.0779 0.0000 2.8808 Pa
0.8403 0.0000 1.8299 O
-0.0333 0.0000 4.7453 O
4.0510 0.0000 2.8808 O
8.1353 0.0000 1.0163 O
7.2616 0.0000 3.9316 O
```

The value obtained for the formation energy from raw total energies is -27.19 eV/f.u. As for the density of states at the Fermi level: 0.00 states/eV/f.u. The calculation puts the spin magnetization at 0.0 μB per formula unit.

---

Record 9
Li3ScB | PBE | optimized geometry

The structure in POSCAR format:
```
Li3ScB
1.0
4.2233 0.0000 0.0000
0.0000 4.2233 0.0000
0.0000 0.0000 4.2233
Li Sc B
3 1 1
Cartesian
0.0000 0.0000 2.1116 Li
0.0000 2.1116 0.0000 Li
2.1116 0.0000 0.0000 Li
2.1116 2.1116 2.1116 Sc
0.0000 0.0000 0.0000 B
```

As for the density of states at the Fermi level: 1.95 states/eV/f.u. The formation enthalpy at 0 K comes out at 2.13 eV per formula unit. The calculation puts the spin magnetization at 0.8 μB per formula unit.

---

Record 10
Th6Ge2SbP3 | PBE | optimized geometry

The structure in POSCAR format:
```
Th6Ge2SbP3
1.0
9.2867 -2.1245 0.0000
9.2867 2.1245 0.0000
-1.9714 0.0000 8.3126
Th Ge Sb P
6 2 1 3
Cartesian
-0.4256 0.0000 1.9089 Th
5.2346 0.0000 3.4670 Th
4.4135 0.0000 7.5922 Th
12.1885 0.0000 0.7204 Th
11.3674 0.0000 4.8456 Th
17.0276 0.0000 6.4037 Th
1.4509 0.0000 6.9176 Ge
15.1511 0.0000 1.3951 Ge
8.3010 0.0000 4.1563 Sb
2.4032 0.0000 2.7659 P
9.2867 0.0000 0.0000 P
14.1989 0.0000 5.5467 P
```

The value obtained for the formation energy from raw total energies is -14.03 eV/f.u. As for the density of states at the Fermi level: 6.13 states/eV/f.u. The calculation puts the spin magnetization at 0.0 μB per formula unit.

---

Record 11
AcTbCoAg | PBE | optimized geometry

The structure in POSCAR format:
```
AcTbCoAg
1.0
0.0000 3.6761 3.6761
3.6761 0.0000 3.6761
3.6761 3.6761 0.0000
Ac Tb Co Ag
1 1 1 1
Cartesian
0.0000 0.0000 0.0000 Ac
3.6761 3.6761 3.6761 Tb
1.8380 1.8380 1.8380 Co
5.5141 5.5141 5.5141 Ag
```

As for the density of states at the Fermi level: 4.02 states/eV/f.u. The formation enthalpy at 0 K comes out at -0.06 eV per formula unit. The calculation puts the spin magnetization at 0.7 μB per formula unit.

---

Record 12
Co2PbSe | PBE | optimized geometry

The structure in POSCAR format:
```
Co2PbSe
1.0
-1.8466 1.8466 4.9005
1.8466 -1.8466 4.9005
1.8466 1.8466 -4.9005
Co Pb Se
2 1 1
Cartesian
0.0000 0.0000 0.0000 Co
0.0000 1.8466 2.4503 Co
1.8466 0.0000 2.4503 Pb
0.0000 0.0000 4.9005 Se
```

The value obtained for the formation energy from raw total energies is 2.17 eV/f.u. As for the density of states at the Fermi level: 5.66 states/eV/f.u. The calculation puts the spin magnetization at 1.8 μB per formula unit.